Material: ScTcRuW
Method: DFT, GGA-PBE
State: optimized geometry

Lattice parameters (Å, degrees): 6.308 6.308 6.308 90.00 90.00 90.00
Space group F-43m (No. 216)
Inequivalent atoms, fractional coordinates:
Sc (0.000, 0.000, 0.000) (multiplicity 4)
Tc (0.250, 0.250, 0.250) (multiplicity 4)
Ru (0.250, 0.250, 0.750) (multiplicity 4)
W (0.000, 0.000, 0.500) (multiplicity 4)

Results
Raw total energy (eV/atom): -10.044
DOS at the Fermi energy (states/eV per cell): 6.0
Formation energy (eV per formula unit): -1.2

Material: ScTe2Ru
Method: DFT, GGA-PBE
State: optimized geometry

Lattice parameters (Å, degrees): 6.003 6.003 13.324 90.00 90.00 90.00
Space group I-42d (No. 122)
Inequivalent atoms, fractional coordinates:
Sc (0.000, 0.000, 0.000) (multiplicity 4)
Te (0.213, 0.250, 0.625) (multiplicity 8)
Ru (0.000, 0.000, 0.500) (multiplicity 4)

Results
Raw total energy (eV/atom): -5.649
DOS at the Fermi energy (states/eV per cell): 12.5
Formation energy from raw total energies (eV per atom): -0.177

Material: Sc2TeRu
Method: DFT, GGA-PBE
State: optimized geometry

Lattice parameters (Å, degrees): 6.715 6.715 6.715 90.00 90.00 90.00
Space group F-43m (No. 216)
Inequivalent atoms, fractional coordinates:
Sc (0.000, 0.000, 0.000) (multiplicity 4)
Sc (0.250, 0.250, 0.250) (multiplicity 4)
Te (0.250, 0.250, 0.750) (multiplicity 4)
Ru (0.000, 0.000, 0.500) (multiplicity 4)

Results
Raw total energy (eV/atom): -6.503
DOS at the Fermi energy (states/eV per cell): 21.1
Formation energy from raw total energies (eV per atom): -0.233

Material: ScTe2Ru
Method: DFT, GGA-PBE
State: optimized geometry

Lattice parameters (Å, degrees): 3.9715 3.9715 23.1568 90.00 90.00 120.00
Space group R3m (No. 160, hexagonal axes)
Inequivalent atoms, fractional coordinates:
Sc (0.0000, 0.0000, 0.0000) (multiplicity 3)
Te (0.0000, 0.0000, 0.2597) (multiplicity 3)
Te (0.0000, 0.0000, 0.4602) (multiplicity 3)
Ru (0.0000, 0.0000, 0.7460) (multiplicity 3)

Results
Raw total energy (eV/atom): -5.789
DOS at the Fermi energy (states/eV per cell): 4.3
Formation energy from raw total energies (eV per atom): -0.316

Material: ScTe2Ru
Method: DFT, GGA-PBE
State: optimized geometry

Lattice parameters (Å, degrees): 4.291 3.837 10.597 90.00 90.00 90.00
Space group Amm2 (No. 38)
Inequivalent atoms, fractional coordinates:
Sc (0.000, 0.000, 0.000) (multiplicity 2)
Te (0.000, 0.000, 0.711) (multiplicity 2)
Te (0.500, 0.000, 0.423) (multiplicity 2)
Ru (0.500, 0.000, 0.168) (multiplicity 2)

Results
Raw total energy (eV/atom): -5.936
DOS at the Fermi energy (states/eV per cell): 4.5
Formation energy from raw total energies (eV per atom): -0.463

Material: Sc2TeRu
Method: DFT, GGA-PBE
State: optimized geometry

Lattice parameters (Å, degrees): 6.312 7.056 3.529 90.00 90.00 90.00
Space group Cmmm (No. 65)
Inequivalent atoms, fractional coordinates:
Sc (0.250, 0.250, 0.000) (multiplicity 4)
Te (0.000, 0.000, 0.500) (multiplicity 2)
Ru (0.000, 0.500, 0.500) (multiplicity 2)

Results
Raw total energy (eV/atom): -6.806
DOS at the Fermi energy (states/eV per cell): 6.8
Formation energy from raw total energies (eV per atom): -0.536

Material: Sc2TeRu
Method: DFT, GGA-PBE
State: optimized geometry

Lattice parameters (Å, degrees): 3.8803 3.8803 20.5856 90.00 90.00 120.00
Space group R-3m (No. 166, hexagonal axes)
Inequivalent atoms, fractional coordinates:
Sc (0.0000, 0.0000, 0.2365) (multiplicity 6)
Te (0.0000, 0.0000, 0.0000) (multiplicity 3)
Ru (0.0000, 0.0000, 0.5000) (multiplicity 3)

Results
Raw total energy (eV/atom): -6.803
DOS at the Fermi energy (states/eV per cell): 7.2
Formation energy from raw total energies (eV per atom): -0.533

Material: ScTe2Ru
Method: DFT, GGA-PBE
State: optimized geometry

Lattice parameters (Å, degrees): 4.1953 4.1953 17.7514 90.00 90.00 120.00
Space group R-3m (No. 166, hexagonal axes)
Inequivalent atoms, fractional coordinates:
Sc (0.0000, 0.0000, 0.0000) (multiplicity 3)
Te (0.0000, 0.0000, 0.2395) (multiplicity 6)
Ru (0.0000, 0.0000, 0.5000) (multiplicity 3)

Results
Raw total energy (eV/atom): -5.846
DOS at the Fermi energy (states/eV per cell): 10.6
Formation energy from raw total energies (eV per atom): -0.374

Material: ScTe2Ru
Method: DFT, GGA-PBE
State: optimized geometry

Lattice parameters (Å, degrees): 4.576 5.153 7.043 90.00 90.00 90.00
Space group Cmmm (No. 65)
Inequivalent atoms, fractional coordinates:
Sc (0.000, 0.000, 0.000) (multiplicity 2)
Te (0.000, 0.500, 0.264) (multiplicity 4)
Ru (0.000, 0.000, 0.500) (multiplicity 2)

Results
Raw total energy (eV/atom): -5.626
DOS at the Fermi energy (states/eV per cell): 10.0
Formation energy from raw total energies (eV per atom): -0.153

Material: Sc2TeRu
Method: DFT, GGA-PBE
State: optimized geometry

Lattice parameters (Å, degrees): 3.948 4.725 8.334 90.00 90.00 90.00
Space group Immm (No. 71)
Inequivalent atoms, fractional coordinates:
Sc (0.000, 0.000, 0.225) (multiplicity 4)
Te (0.000, 0.500, 0.000) (multiplicity 2)
Ru (0.000, 0.500, 0.500) (multiplicity 2)

Results
Raw total energy (eV/atom): -6.778
DOS at the Fermi energy (states/eV per cell): 5.5
Formation energy from raw total energies (eV per atom): -0.508

Material: Sc2TeRu
Method: DFT, GGA-PBE
State: optimized geometry

Lattice parameters (Å, degrees): 3.3104 3.3104 27.2984 90.00 90.00 120.00
Space group R3m (No. 160, hexagonal axes)
Inequivalent atoms, fractional coordinates:
Sc (0.0000, 0.0000, 0.0000) (multiplicity 3)
Sc (0.0000, 0.0000, 0.2322) (multiplicity 3)
Te (0.0000, 0.0000, 0.4769) (multiplicity 3)
Ru (0.0000, 0.0000, 0.7353) (multiplicity 3)

Results
Raw total energy (eV/atom): -6.284
DOS at the Fermi energy (states/eV per cell): 17.1
Formation energy from raw total energies (eV per atom): -0.014

Material: Sc2TeRu
Method: DFT, GGA-PBE
State: optimized geometry

Lattice parameters (Å, degrees): 3.413 3.409 6.965 90.00 90.06 90.00
Space group P2/m (No. 10)
Inequivalent atoms, fractional coordinates:
Sc (0.001, 0.000, 0.220) (multiplicity 2)
Te (0.500, 0.500, 0.500) (multiplicity 1)
Ru (0.500, 0.500, 0.000) (multiplicity 1)

Results
Raw total energy (eV/atom): -6.927
DOS at the Fermi energy (states/eV per cell): 1.3
Formation energy from raw total energies (eV per atom): -0.657

| no. | total moment (μB per formula unit) |
| --- | --- |
| 1 | 0.00 |
| 2 | 0.00 |
| 3 | 0.45 |
| 4 | 0.00 |
| 5 | 0.00 |
| 6 | 0.00 |
| 7 | 0.00 |
| 8 | 0.00 |
| 9 | 0.00 |
| 10 | 0.00 |
| 11 | 0.47 |
| 12 | 0.00 |